1.
Density functional theory data (PBE-GGA) for a geometry-optimized LaNiSnHg2 structure.

Summary:
- E_form (meV per atom) = -259.3
- SG = P4/mmm

Unit cell a=4.998 b=4.998 c=4.984 alpha=90.00 beta=90.00 gamma=90.00
Fractional coordinates of all 5 atoms:
Ni (0.000, 0.000, 0.000)
Hg (0.000, 0.500, 0.000)
Hg (0.500, 0.000, 0.000)
Sn (0.000, 0.000, 0.500)
La (0.500, 0.500, 0.500)

---

2.
Density functional theory data (PBE-GGA) for a geometry-optimized Ce4TlGa3 structure.

Summary:
- polymorph energy (0 for the lowest one) (eV per atom) = 0.000
- E_form (meV per atom) = -410.7
- SG = I4/mmm

Unit cell a=4.642 b=4.642 c=9.468 alpha=104.17 beta=104.17 gamma=90.00
Site moments in Bohr magnetons follow the coordinates.
Fractional coordinates of all 8 atoms:
Tl (0.500, 0.000, 0.000)  0.00
Ga (0.000, 0.500, 0.000)  0.00
Ga (0.750, 0.250, 0.500)  -0.01
Ga (0.250, 0.750, 0.500)  -0.01
Ce (0.368, 0.368, 0.737)  0.17
Ce (0.632, 0.632, 0.263)  0.17
Ce (0.132, 0.132, 0.263)  0.17
Ce (0.868, 0.868, 0.737)  0.17

---

3.
Density functional theory data (PBE-GGA) for a geometry-optimized Ac2Pr4Sn3O2 structure.

Summary:
- formation energy without anion corrections (eV/atom) = -1.48
- SG = I4/mmm

Unit cell a=4.941 b=4.941 c=13.825 alpha=100.29 beta=100.29 gamma=90.00
Fractional coordinates of all 11 atoms:
Ac (0.307, 0.307, 0.613)
Ac (0.693, 0.693, 0.387)
Pr (0.420, 0.920, 0.840)
Pr (0.920, 0.420, 0.840)
Pr (0.080, 0.580, 0.160)
Pr (0.580, 0.080, 0.160)
Sn (0.000, 0.000, 0.000)
Sn (0.172, 0.172, 0.345)
Sn (0.828, 0.828, 0.655)
O (0.402, 0.402, 0.803)
O (0.598, 0.598, 0.197)

---

4.
Density functional theory data (PBE-GGA) for a geometry-optimized Fe2AgRu2 structure.

Summary:
- polymorph energy (0 for the lowest one) (eV per atom) = 0.000
- E_form (meV per atom) = 359.6
- SG = P4/mbm

Unit cell a=7.138 b=7.138 c=2.657 alpha=90.00 beta=90.00 gamma=90.00
Fractional coordinates of all 10 atoms:
Ru (0.170, 0.670, 0.500)
Ru (0.670, 0.830, 0.500)
Ru (0.830, 0.330, 0.500)
Ru (0.330, 0.170, 0.500)
Fe (0.381, 0.881, 0.000)
Fe (0.881, 0.619, 0.000)
Fe (0.619, 0.119, 0.000)
Fe (0.119, 0.381, 0.000)
Ag (0.000, 0.000, 0.000)
Ag (0.500, 0.500, 0.000)

---

5.
Density functional theory data (PBE-GGA) for a geometry-optimized ReTcOsO2 structure.

Summary:
- formation energy without anion corrections (eV/atom) = 0.31
- SG = P4/mmm

Unit cell a=3.670 b=5.738 c=3.670 alpha=90.00 beta=90.00 gamma=90.00
Site moments in Bohr magnetons follow the coordinates.
Fractional coordinates of all 5 atoms:
Re (0.500, 0.500, 0.500)  1.43
Os (0.000, 0.500, 0.000)  -0.28
Tc (0.000, 0.000, 0.000)  0.10
O (0.000, 0.000, 0.500)  0.03
O (0.500, 0.000, 0.000)  0.02

---

6.
Density functional theory data (PBE-GGA) for a geometry-optimized Tl2CrPb structure.

Summary:
- polymorph energy (0 for the lowest one) (eV per atom) = 0.063
- E_form (meV per atom) = 398.3
- SG = P4/mmm

Unit cell a=3.441 b=3.441 c=8.811 alpha=90.00 beta=90.00 gamma=90.00
Site moments in Bohr magnetons follow the coordinates.
Fractional coordinates of all 4 atoms:
Cr (0.500, 0.500, 0.250)  3.89
Pb (0.500, 0.500, 0.750)  0.01
Tl (0.000, 0.000, 0.037)  0.03
Tl (0.000, 0.000, 0.463)  0.03

---

7.
Density functional theory data (PBE-GGA) for a geometry-optimized Li3Cd10Ag3 structure.

Summary:
- E_form (meV per atom) = -84.0
- SG = P-62m

Unit cell a=5.587 b=8.202 c=8.202 alpha=120.00 beta=90.00 gamma=90.00
Fractional coordinates of all 16 atoms:
Li (0.000, 0.000, 0.589)
Li (0.000, 0.589, 0.000)
Li (0.000, 0.411, 0.411)
Cd (0.246, 0.667, 0.333)
Cd (0.246, 0.333, 0.667)
Cd (0.754, 0.333, 0.667)
Cd (0.754, 0.667, 0.333)
Cd (0.500, 0.000, 0.765)
Cd (0.500, 0.765, 0.000)
Cd (0.500, 0.235, 0.235)
Cd (0.000, 0.000, 0.222)
Cd (0.000, 0.222, 0.000)
Cd (0.000, 0.778, 0.778)
Ag (0.500, 0.000, 0.398)
Ag (0.500, 0.398, 0.000)
Ag (0.500, 0.602, 0.602)

---

8.
Density functional theory data (PBE-GGA) for a geometry-optimized MgAg3Au structure.

Summary:
- polymorph energy (0 for the lowest one) (eV per atom) = 0.000
- E_form (meV per atom) = -214.0
- SG = Cmcm

Unit cell a=4.121 b=4.079 c=10.830 alpha=100.85 beta=90.00 gamma=90.00
Fractional coordinates of all 10 atoms:
Mg (0.250, 0.826, 0.300)
Mg (0.750, 0.526, 0.700)
Ag (0.750, 0.126, 0.900)
Ag (0.750, 0.726, 0.101)
Ag (0.750, 0.926, 0.500)
Ag (0.250, 0.626, 0.899)
Ag (0.250, 0.226, 0.100)
Ag (0.250, 0.426, 0.500)
Au (0.250, 0.026, 0.701)
Au (0.750, 0.326, 0.299)

---

9.
Density functional theory data (PBE-GGA) for a geometry-optimized LaNiW2 structure.

Summary:
- polymorph energy (0 for the lowest one) (eV per atom) = 0.250
- E_form (meV per atom) = 556.6
- SG = F-43m

Unit cell a=4.675 b=4.675 c=4.675 alpha=119.99 beta=119.99 gamma=90.01
Fractional coordinates of all 4 atoms:
La (0.500, 0.500, 0.000)
Ni (0.750, 0.250, 0.500)
W (0.000, 0.000, 0.000)
W (0.250, 0.750, 0.500)

---

10.
Density functional theory data (PBE-GGA) for a geometry-optimized NaLaPm structure.

Summary:
- polymorph energy (0 for the lowest one) (eV per atom) = 0.042
- E_form (meV per atom) = 124.4
- SG = I4mm

Unit cell a=3.597 b=3.597 c=8.798 alpha=101.79 beta=101.79 gamma=90.00
Fractional coordinates of all 3 atoms:
Na (0.998, 0.998, 0.996)
Pm (0.328, 0.328, 0.656)
La (0.674, 0.674, 0.349)

---

11.
Density functional theory data (PBE-GGA) for a geometry-optimized Np2Al12Zn structure.

Summary:
- E_form (meV per atom) = 32.1
- SG = P4/nbm

Unit cell a=6.012 b=6.012 c=15.982 alpha=90.00 beta=90.00 gamma=90.00
Site moments in Bohr magnetons follow the coordinates.
Fractional coordinates of all 30 atoms:
Np (0.500, 0.000, 0.249)  3.96
Np (0.000, 0.500, 0.249)  3.96
Np (0.000, 0.500, 0.751)  3.96
Np (0.500, 0.000, 0.751)  3.96
Al (0.500, 0.500, 0.815)  -0.01
Al (0.000, 0.000, 0.815)  -0.01
Al (0.750, 0.750, 0.910)  -0.01
Al (0.250, 0.750, 0.910)  -0.01
Al (0.000, 0.000, 0.339)  -0.01
Al (0.250, 0.750, 0.090)  -0.01
Al (0.831, 0.331, 0.571)  -0.01
Al (0.500, 0.500, 0.339)  -0.01
Al (0.250, 0.250, 0.910)  -0.01
Al (0.750, 0.750, 0.090)  -0.01
Al (0.331, 0.169, 0.571)  -0.01
Al (0.669, 0.169, 0.429)  -0.01
Al (0.000, 0.000, 0.661)  -0.01
Al (0.169, 0.331, 0.429)  -0.01
Al (0.250, 0.250, 0.090)  -0.01
Al (0.831, 0.669, 0.429)  -0.01
Al (0.669, 0.831, 0.571)  -0.01
Al (0.000, 0.000, 0.185)  -0.01
Al (0.169, 0.669, 0.571)  -0.01
Al (0.500, 0.500, 0.661)  -0.01
Al (0.750, 0.250, 0.910)  -0.01
Al (0.500, 0.500, 0.185)  -0.01
Al (0.331, 0.831, 0.429)  -0.01
Al (0.750, 0.250, 0.090)  -0.01
Zn (0.500, 0.000, 0.000)  -0.02
Zn (0.000, 0.500, 0.000)  -0.02

---

12.
Density functional theory data (PBE-GGA) for a geometry-optimized GeSbPd2 structure.

Summary:
- polymorph energy (0 for the lowest one) (eV per atom) = 0.144
- formation energy without anion corrections (eV/atom) = -0.27
- SG = P4/mmm

Unit cell a=3.234 b=3.234 c=6.844 alpha=90.00 beta=90.00 gamma=90.00
Fractional coordinates of all 4 atoms:
Sb (0.500, 0.500, 0.500)
Ge (0.500, 0.500, 0.000)
Pd (0.000, 0.000, 0.786)
Pd (0.000, 0.000, 0.214)

---

Please write out number 10 again, unchanged.
Density functional theory data (PBE-GGA) for a geometry-optimized NaLaPm structure.

Summary:
- polymorph energy (0 for the lowest one) (eV per atom) = 0.042
- E_form (meV per atom) = 124.4
- SG = I4mm

Unit cell a=3.597 b=3.597 c=8.798 alpha=101.79 beta=101.79 gamma=90.00
Fractional coordinates of all 3 atoms:
Na (0.998, 0.998, 0.996)
Pm (0.328, 0.328, 0.656)
La (0.674, 0.674, 0.349)